Entry from OQMD: crystalline BaCdSO at its relaxed geometry (GGA-PBE).

POSCAR file:
```
BaCdSO
1.0
-1.728 -0.531 -4.467
2.010 -4.372 -0.258
-6.882 -3.344 3.060
Ba Cd O S
2 2 2 2
Direct
0.250 0.250 0.175
0.750 0.750 0.825
0.750 0.750 0.373
0.250 0.250 0.627
0.750 0.750 0.114
0.250 0.250 0.886
0.750 0.250 0.500
0.250 0.750 0.500
```

SG	No. 129
VASP energy	-17.422	eV per formula unit
calculated volume	191.38	Å³/cell